Entry 1:
Entry from Alexandria: a geometry-optimized Hf2Ti5AlOs2 structure (PBE).

Unit cell a=3.1595 b=10.6964 c=10.6964 alpha=90.00 beta=90.00 gamma=90.00
With the nearest neighbours (Å) after each atom.
Sites, in units of the cell vectors:
Ti (0.5000, 0.7993, 0.9459)  2 Os 2.52, 2 Al 2.73
Ti (0.5000, 0.0541, 0.7993)  2 Os 2.52, 2 Al 2.73
Ti (0.5000, 0.7007, 0.4459)  2 Os 2.52, 2 Al 2.73
Ti (0.5000, 0.2007, 0.0541)  2 Os 2.52, 2 Al 2.73
Ti (0.5000, 0.0000, 0.5000)  4 Os 2.58
Ti (0.5000, 0.9459, 0.2007)  2 Os 2.52, 2 Al 2.73
Ti (0.5000, 0.2993, 0.5541)  2 Os 2.52, 2 Al 2.73
Ti (0.5000, 0.5541, 0.7007)  2 Os 2.52, 2 Al 2.73
Ti (0.5000, 0.4459, 0.2993)  2 Os 2.52, 2 Al 2.73
Ti (0.5000, 0.5000, 0.0000)  4 Os 2.58
Os (0.0000, 0.3655, 0.1345)  6 Ti 2.52-2.58, 1 Hf 2.82
Os (0.0000, 0.1345, 0.6345)  6 Ti 2.52-2.58, 1 Hf 2.82
Os (0.0000, 0.8655, 0.3655)  6 Ti 2.52-2.58, 1 Hf 2.82
Os (0.0000, 0.6345, 0.8655)  6 Ti 2.52-2.58, 1 Hf 2.82
Hf (0.0000, 0.8209, 0.6791)  1 Os 2.82, 2 Ti 3.14
Hf (0.0000, 0.3209, 0.8209)  1 Os 2.82, 2 Ti 3.14
Hf (0.0000, 0.6791, 0.1791)  1 Os 2.82, 2 Ti 3.14
Hf (0.0000, 0.1791, 0.3209)  1 Os 2.82, 2 Ti 3.14
Al (0.0000, 0.5000, 0.5000)  8 Ti 2.73
Al (0.0000, 0.0000, 0.0000)  8 Ti 2.73

Properties
formation energy: -0.22 eV per atom

Entry 2:
Entry from Alexandria: a geometry-optimized TaCrCu2 structure (PBE).

Unit cell a=4.7342 b=4.7342 c=4.4578 alpha=70.68 beta=70.68 gamma=36.67
With the nearest neighbours (Å) after each atom.
Sites, in units of the cell vectors:
Cu (0.7403, 0.7403, 0.7915)  3 Cu 2.50-2.72, 4 Cr 2.64-2.72, 2 Ta 2.73
Cu (0.0014, 0.0014, 0.9672)  3 Cu 2.50-2.72, 2 Cr 2.61, 4 Ta 2.66-2.70
Ta (0.5017, 0.5017, 0.4722)  3 Cr 2.62-2.66, 6 Cu 2.66-2.73
Cr (0.2567, 0.2567, 0.2691)  6 Cu 2.61-2.72, 3 Ta 2.62-2.66

Properties
formation energy: 0.28 eV per atom

Entry 3:
Entry from Alexandria: a geometry-optimized RbPrIn4 structure (PBE).

Unit cell a=6.2992 b=6.2992 c=6.2992 alpha=60.00 beta=60.00 gamma=60.00
With the nearest neighbours (Å) after each atom.
Sites, in units of the cell vectors:
In (0.1235, 0.6255, 0.6255)  6 In 3.14-3.16
In (0.6255, 0.6255, 0.6255)  6 In 3.14-3.16
In (0.6255, 0.6255, 0.1235)  6 In 3.14-3.16
In (0.6255, 0.1235, 0.6255)  6 In 3.14-3.16
Pr (0.0000, 0.0000, 0.0000)  12 In 3.69, 4 Rb 3.86
Rb (0.2500, 0.2500, 0.2500)  12 In 3.69, 4 Pr 3.86

Properties
formation energy: -0.18 eV per atom

Question: Which of these has the lowest formation energy?
Answer: Hf2Ti5AlOs2

Copy entry 2 word for word.
Entry from Alexandria: a geometry-optimized TaCrCu2 structure (PBE).

Unit cell a=4.7342 b=4.7342 c=4.4578 alpha=70.68 beta=70.68 gamma=36.67
With the nearest neighbours (Å) after each atom.
Sites, in units of the cell vectors:
Cu (0.7403, 0.7403, 0.7915)  3 Cu 2.50-2.72, 4 Cr 2.64-2.72, 2 Ta 2.73
Cu (0.0014, 0.0014, 0.9672)  3 Cu 2.50-2.72, 2 Cr 2.61, 4 Ta 2.66-2.70
Ta (0.5017, 0.5017, 0.4722)  3 Cr 2.62-2.66, 6 Cu 2.66-2.73
Cr (0.2567, 0.2567, 0.2691)  6 Cu 2.61-2.72, 3 Ta 2.62-2.66

Properties
formation energy: 0.28 eV per atom